Density functional theory data (PBE+U) for an optimized crystal structure of AcSmMo2O8.

a b c (Å): 5.4492 5.4492 11.7427
angles (deg): 90.00 90.00 90.00
Space group I-4 (No. 82)
One atom of each set of equivalent atoms:
Ac 0.0000 0.0000 0.0000 x2
Sm 0.0000 0.5000 0.7500 x2
Mo 0.0000 0.0000 0.5000 x2
Mo 0.0000 0.5000 0.2500 x2
O 0.1517 0.2335 0.5846 x8
O 0.1801 0.7577 0.1656 x8

Values from the calculation:
Total moment (μB/cell): 4.00
Energy (eV per cell): -183.40